Entry from Alexandria: an optimized crystal structure of AgBiO2F (PBE).

Structure (POSCAR):
```
AgBiO2F
1.0
4.325 0.000 0.000
0.000 4.325 0.000
0.000 0.000 4.500
O Bi Ag F
2 1 1 1
direct
0.000 0.500 0.000 O
0.500 0.000 0.000 O
0.000 0.000 0.000 Bi
0.500 0.500 0.500 Ag
0.000 0.000 0.500 F
```

Properties
- Formation energy (no corrections): -807 meV/atom